A plane-wave DFT calculation with GGA-PBE was carried out for crystalline CePm3Te4 at its relaxed geometry.

Calculated values
For the formation energy without anion corrections, the calculation gives -11.06 eV/f.u. The uncorrected energy is -5.4769 eV/atom. For the energy above the lowest structure with this stoichiometry, the calculation gives 19 meV per atom. The value obtained for the density of states at the Fermi level is 22.1 states/eV per cell. The symmetry is P6_3/mmc, No. 194. The crystal system is hexagonal.

Cell lengths 4.405, 4.405, 30.188 Å; angles 90.00, 90.00, 120.00 degrees
Sites, in units of the cell vectors:
Ce1 0.333 0.667 0.250
Ce2 0.667 0.333 0.750
Pm1 0.000 0.000 0.000
Pm2 0.000 0.000 0.500
Pm3 0.333 0.667 0.624
Pm4 0.333 0.667 0.876
Pm5 0.667 0.333 0.124
Pm6 0.667 0.333 0.376
Te1 0.000 0.000 0.185
Te2 0.000 0.000 0.315
Te3 0.000 0.000 0.685
Te4 0.000 0.000 0.815
Te5 0.333 0.667 0.062
Te6 0.333 0.667 0.438
Te7 0.667 0.333 0.562
Te8 0.667 0.333 0.938